No. 1
Density functional theory data (PBE) for CaTl2Ag after structural relaxation.

Lattice parameters (Å, degrees): 5.276 5.276 5.276 60.00 60.00 60.00
Positions (direct):
Ca: 0.000 0.000 0.000
Tl: 0.250 0.250 0.250
Tl: 0.500 0.500 0.500
Ag: 0.750 0.750 0.750

## Properties
Symmetry = No. 216
DOS at the Fermi energy = 3.58 states/eV/f.u.
DFT total energy = -10.207 eV/cell
Calculated density = 8.90 g/cm³
V = 25.965 Å³/atom
DFT formation energy = -0.155 eV per atom

No. 2
Density functional theory data (PBE) for Li2GeTe2 after structural relaxation.

Lattice parameters (Å, degrees): 8.340 8.340 3.341 90.00 90.00 90.00
Positions (direct):
Li: 0.127 0.373 0.000
Li: 0.373 0.873 0.000
Li: 0.627 0.127 0.000
Li: 0.873 0.627 0.000
Ge: 0.000 0.000 0.500
Ge: 0.500 0.500 0.500
Te: 0.174 0.674 0.500
Te: 0.326 0.174 0.500
Te: 0.674 0.826 0.500
Te: 0.826 0.326 0.500

## Properties
Symmetry = No. 127
Distance to the lowest polymorph of the same formula = 102 meV/atom
DOS at the Fermi energy = 1.11 states/eV/f.u.
E_form (uncorrected) = -0.44 eV/atom
DFT total energy = -33.890 eV/cell
Calculated density = 4.88 g/cm³
V = 23.234 Å³/atom

No. 3
Density functional theory data (PBE) for Fe2SiHg after structural relaxation.

Lattice parameters (Å, degrees): 9.039 9.039 9.039 155.02 155.02 35.62
Positions (direct):
Fe: 0.049 0.625 0.924
Fe: 0.375 0.299 0.424
Fe: 0.701 0.125 0.076
Fe: 0.875 0.951 0.576
Si: 0.000 0.000 0.000
Si: 0.750 0.250 0.500
Hg: 0.250 0.750 0.500
Hg: 0.500 0.500 0.000

## Properties
Symmetry = No. 122
Distance to the lowest polymorph of the same formula = 481 meV/atom
DOS at the Fermi energy = 4.34 states/eV/f.u.
E_form (uncorrected) = 0.56 eV/atom
DFT total energy = -40.828 eV/cell
Calculated density = 8.59 g/cm³
V = 16.445 Å³/atom

No. 4
Density functional theory data (PBE) for VCr2Rh9 after structural relaxation.

Lattice parameters (Å, degrees): 3.807 3.807 11.405 90.00 90.00 90.00
Positions (direct):
V: 0.000 0.000 0.000
Cr: 0.000 0.000 0.335
Cr: 0.000 0.000 0.665
Rh: 0.000 0.500 0.166
Rh: 0.000 0.500 0.500
Rh: 0.000 0.500 0.834
Rh: 0.500 0.000 0.166
Rh: 0.500 0.000 0.500
Rh: 0.500 0.000 0.834
Rh: 0.500 0.500 0.000
Rh: 0.500 0.500 0.333
Rh: 0.500 0.500 0.667

## Properties
Symmetry = No. 123
DOS at the Fermi energy = 12.41 states/eV/f.u.
DFT total energy = -96.981 eV/cell
Calculated density = 10.86 g/cm³
V = 13.773 Å³/atom
DFT formation energy = -0.204 eV per atom

No. 5
Density functional theory data (PBE) for ZnGa2Br4 after structural relaxation.

Lattice parameters (Å, degrees): 14.845 9.479 6.984 90.00 90.00 90.00
Positions (direct):
Zn: 0.092 0.250 0.100
Zn: 0.408 0.750 0.600
Zn: 0.592 0.250 0.400
Zn: 0.908 0.750 0.900
Ga: 0.000 0.000 0.500
Ga: 0.000 0.500 0.500
Ga: 0.232 0.750 0.016
Ga: 0.268 0.250 0.516
Ga: 0.500 0.000 0.000
Ga: 0.500 0.500 0.000
Ga: 0.732 0.750 0.484
Ga: 0.768 0.250 0.984
Br: 0.061 0.750 0.762
Br: 0.082 0.250 0.754
Br: 0.172 0.047 0.236
Br: 0.172 0.453 0.236
Br: 0.328 0.547 0.736
Br: 0.328 0.953 0.736
Br: 0.418 0.750 0.254
Br: 0.439 0.250 0.262
Br: 0.561 0.750 0.738
Br: 0.582 0.250 0.746
Br: 0.672 0.047 0.264
Br: 0.672 0.453 0.264
Br: 0.828 0.547 0.764
Br: 0.828 0.953 0.764
Br: 0.918 0.750 0.246
Br: 0.939 0.250 0.238

## Properties
Symmetry = No. 62
Distance to the lowest polymorph of the same formula = 0 meV/atom
DOS at the Fermi energy = 0.00 states/eV/f.u.
E_form (uncorrected) = -0.69 eV/atom
DFT total energy = -75.279 eV/cell
Calculated density = 3.54 g/cm³
V = 35.097 Å³/atom

No. 6
Density functional theory data (PBE) for CsYB2Sb after structural relaxation.

Lattice parameters (Å, degrees): 4.798 4.798 6.289 90.00 90.00 90.00
Positions (direct):
Cs: 0.000 0.000 0.000
Y: 0.500 0.500 0.500
B: 0.000 0.500 0.000
B: 0.500 0.000 0.000
Sb: 0.000 0.000 0.500

## Properties
Symmetry = No. 123
Distance to the lowest polymorph of the same formula = 620 meV/atom
DOS at the Fermi energy = 4.82 states/eV/f.u.
E_form (uncorrected) = 2.13 eV/atom
DFT total energy = -14.151 eV/cell
Calculated density = 4.19 g/cm³
V = 28.955 Å³/atom